Compound: NaWF3
Source: Alexandria via LeMat-Bulk
Functional: PBE with a Hubbard U
Structure: relaxed

Calculated values
The value obtained for the uncorrected energy is -23.8 eV per cell. The energy above the lowest structure with this stoichiometry comes out at 0.0 meV per atom.

a b c (Å): 4.4105 4.4105 4.4105
angles (deg): 90.00 90.00 90.00
Fractional positions:
1 Na 0.5000 0.5000 0.5000
2 W 0.0000 0.0000 0.0000
3 F 0.0000 0.5000 0.0000
4 F 0.0000 0.0000 0.5000
5 F 0.5000 0.0000 0.0000